Entry from Alexandria: a relaxed KTlAu2 crystal (PBEsol).

## Properties
- distance to the lowest polymorph of the same formula (eV per formula unit) = 0.66
- space group = I4/mmm, No. 139
- E_form (meV per atom) = 34

Cell lengths 5.1155, 5.1155, 5.1155 Å; angles 119.85, 119.85, 90.27 degrees
With the nearest neighbours (Å) after each atom.
Positions (direct):
1 K 0.0000 0.0000 0.0000  8 Au 3.14
2 Tl 0.5000 0.5000 0.0000  8 Au 3.14
3 Au 0.2500 0.7500 0.5000  4 Tl 3.14, 4 K 3.14
4 Au 0.7500 0.2500 0.5000  4 Tl 3.14, 4 K 3.14

Entry from Alexandria: a relaxed NaSn2As2 crystal (PBEsol).

## Properties
- distance to the lowest polymorph of the same formula (eV per formula unit) = 0.67
- space group = I4/mmm, No. 139
- E_form (meV per atom) = -108

Cell lengths 5.9678, 5.9678, 5.9678 Å; angles 127.76, 127.76, 77.02 degrees
With the nearest neighbours (Å) after each atom.
Positions (direct):
1 Na 0.0000 0.0000 0.0000  2 Sn 3.23, 8 As 3.52
2 Sn 0.3459 0.3459 0.0000  4 As 2.78, 1 Sn 2.88
3 Sn 0.6541 0.6541 0.0000  4 As 2.78, 1 Sn 2.88
4 As 0.2500 0.7500 0.5000  4 Sn 2.78
5 As 0.7500 0.2500 0.5000  4 Sn 2.78

Entry from Alexandria: a relaxed KBe4Cu crystal (PBEsol).

## Properties
- space group = F-43m, No. 216
- E_form (meV per atom) = 646

Cell lengths 4.7014, 4.7014, 4.7014 Å; angles 60.00, 60.00, 60.00 degrees
With the nearest neighbours (Å) after each atom.
Positions (direct):
1 K 0.0000 0.0000 0.0000  12 Be 2.77, 4 Cu 2.88
2 Be 0.1455 0.6182 0.6182  6 Be 2.22-2.48
3 Be 0.6182 0.1455 0.6182  6 Be 2.22-2.48
4 Be 0.6182 0.6182 0.1455  6 Be 2.22-2.48
5 Be 0.6182 0.6182 0.6182  6 Be 2.22-2.48
6 Cu 0.2500 0.2500 0.2500  12 Be 2.74, 4 K 2.88

Entry from Alexandria: a relaxed Li2FeW crystal (PBEsol).

## Properties
- distance to the lowest polymorph of the same formula (eV per formula unit) = 0.66
- space group = P4/mmm, No. 123
- E_form (meV per atom) = 575

Cell lengths 2.4967, 2.4967, 8.9039 Å; angles 90.00, 90.00, 90.00 degrees
With the nearest neighbours (Å) after each atom.
Positions (direct):
1 Li 0.0000 0.0000 0.2379  4 Li 2.50, 4 Fe 2.76
2 Li 0.0000 0.0000 0.7621  4 Li 2.50, 4 Fe 2.76
3 Fe 0.5000 0.5000 0.0000  4 Fe 2.50, 8 Li 2.76
4 W 0.5000 0.5000 0.5000  4 W 2.50

Entry from Alexandria: a relaxed Hf3ScMn crystal (PBEsol).

## Properties
- distance to the lowest polymorph of the same formula (eV per formula unit) = 6.05
- space group = Pm-3m, No. 221
- E_form (meV per atom) = 1533

Cell lengths 4.8717, 4.8717, 4.8717 Å; angles 90.00, 90.00, 90.00 degrees
With the nearest neighbours (Å) after each atom.
Positions (direct):
1 Hf 0.0000 0.0000 0.5000  2 Sc 2.44
2 Hf 0.0000 0.5000 0.0000  2 Sc 2.44
3 Hf 0.5000 0.0000 0.0000  2 Sc 2.44
4 Sc 0.0000 0.0000 0.0000  6 Hf 2.44
5 Mn 0.5000 0.5000 0.5000  12 Hf 3.44

Entry from Alexandria: a relaxed MgSiAs2 crystal (PBEsol).

## Properties
- distance to the lowest polymorph of the same formula (eV per formula unit) = 0.00
- formation energy without anion corrections (kJ/mol of atoms) = -28
- space group = I-42d, No. 122

Cell lengths 6.7586, 6.7586, 6.7586 Å; angles 127.81, 127.81, 76.93 degrees
With the nearest neighbours (Å) after each atom.
Positions (direct):
1 Mg 0.0000 0.0000 0.0000  4 As 2.62
2 Mg 0.7500 0.2500 0.5000  4 As 2.62
3 Si 0.2500 0.7500 0.5000  4 As 2.36
4 Si 0.5000 0.5000 0.0000  4 As 2.36
5 As 0.1615 0.6250 0.0365  2 Si 2.36, 2 Mg 2.62
6 As 0.3750 0.4115 0.5365  2 Si 2.36, 2 Mg 2.62
7 As 0.5885 0.1250 0.9635  2 Si 2.36, 2 Mg 2.62
8 As 0.8750 0.8385 0.4635  2 Si 2.36, 2 Mg 2.62

Entry from Alexandria: a relaxed Ba2CaPd3O6 crystal (PBEsol).

## Properties
- formation energy without anion corrections (kJ/mol of atoms) = -166
- space group = Fmmm, No. 69

Cell lengths 9.3942, 8.6585, 7.1653 Å; angles 72.14, 61.31, 46.55 degrees
With the nearest neighbours (Å) after each atom.
Positions (direct):
1 Ba 0.2297 0.7703 0.2297  4 O 2.83
2 Ba 0.2500 0.2500 0.2500  8 O 2.74-2.78
3 Ba 0.7500 0.7500 0.7500  8 O 2.74-2.78
4 Ba 0.7703 0.2297 0.7703  4 O 2.83
5 Ca 0.3290 0.3290 0.6710  6 O 2.36-2.42
6 Ca 0.6710 0.6710 0.3290  6 O 2.36-2.42
7 Pd 0.0070 0.6898 0.9930  4 O 2.03-2.04
8 Pd 0.3102 0.9930 0.6898  4 O 2.03-2.04
9 Pd 0.3267 0.6733 0.6733  4 O 2.02
10 Pd 0.6733 0.3267 0.3267  4 O 2.02
11 Pd 0.6898 0.0070 0.3102  4 O 2.03-2.04
12 Pd 0.9930 0.3102 0.0070  4 O 2.03-2.04
13 O 0.0764 0.3121 0.6879  2 Pd 2.03
14 O 0.0935 0.7042 0.6716  2 Pd 2.02-2.04
15 O 0.2958 0.9065 0.4694  2 Pd 2.02-2.04
16 O 0.3121 0.0764 0.9236  2 Pd 2.03
17 O 0.3284 0.4694 0.9065  2 Pd 2.02-2.04
18 O 0.4694 0.3284 0.2958  2 Pd 2.02-2.04
19 O 0.5306 0.6716 0.7042  2 Pd 2.02-2.04
20 O 0.6716 0.5306 0.0935  2 Pd 2.02-2.04
21 O 0.6879 0.9236 0.0764  2 Pd 2.03
22 O 0.7042 0.0935 0.5306  2 Pd 2.02-2.04
23 O 0.9065 0.2958 0.3284  2 Pd 2.02-2.04
24 O 0.9236 0.6879 0.3121  2 Pd 2.03

Entry from Alexandria: a relaxed AlPtRh2 crystal (PBEsol).

## Properties
- space group = Pmmm, No. 47
- E_form (meV per atom) = -421

Cell lengths 2.7830, 4.4817, 4.4820 Å; angles 90.00, 90.00, 90.00 degrees
With the nearest neighbours (Å) after each atom.
Positions (direct):
1 Al 0.0000 0.0000 0.0000  4 Rh 2.64, 4 Pt 2.64, 2 Al 2.78
2 Pt 0.5000 0.0000 0.5000  4 Rh 2.64, 4 Al 2.64, 2 Pt 2.78
3 Rh 0.0000 0.5000 0.5000  4 Pt 2.64, 6 Rh 2.64-2.78
4 Rh 0.5000 0.5000 0.0000  4 Al 2.64, 6 Rh 2.64-2.78

Which formula does entry 7 have?
Ba2CaPd3O6